Computed, not measured: a relaxed structure of PrEr2Zn3CdIn2 at the GGA-PBE level of DFT.

Values from the calculation:
Space-group type: Amm2, No. 38
Total energy (eV per atom): -3.028
Total magnetic moment (μB per atom): 0.001
Volume (Å³ per cell): 208

Lattice parameters (Å, degrees): 4.6114 7.2580 7.2580 121.21 90.00 90.00
Atoms (fractional coordinates):
Pr 0.0000 0.0000 0.0000
Er 0.0000 0.4229 0.8530
Er 0.0000 0.8530 0.4229
Zn 0.5000 0.1951 0.4274
Zn 0.5000 0.4274 0.1951
Zn 0.5000 0.6625 0.6625
Cd 0.0000 0.4414 0.4414
In 0.5000 0.0950 0.7530
In 0.5000 0.7530 0.0950